# 1
Computed, not measured: a geometry-optimized Li3HoPu2Te6 structure at the PBE level of DFT.

Properties
**Space group**: C2/m
**Raw formation energy**: -1.0963 eV per atom
**Total magnetic moment**: 10.000 μB/cell
**E_tot**: -5.9157 eV per atom

```
Li3HoPu2Te6
1.0
7.5803 -0.0005 0.0017
-3.7887 6.5655 0.0017
-1.2633 -2.1875 7.0193
Te Pu Li Ho
6 2 3 1
Direct
0.5847 0.9143 0.7430
0.9143 0.5847 0.7430
0.2443 0.2443 0.7435
0.4153 0.0857 0.2570
0.0857 0.4153 0.2570
0.7557 0.7557 0.2565
0.6669 0.3331 0.0000
0.3331 0.6669 0.0000
0.8339 0.1661 0.5000
0.5000 0.5000 0.5000
0.1661 0.8339 0.5000
0.0000 0.0000 0.0000
```

# 2
Computed, not measured: a geometry-optimized Ac2SeF structure at the PBE level of DFT.

Properties
**Space group**: R-3m
**Raw formation energy**: -2.0099 eV per atom
**Total magnetic moment**: 0.003 μB/cell
**E_tot**: -5.4031 eV per atom

```
Ac2SeF
1.0
-0.5956 4.0590 0.7654
-0.6618 1.3117 3.9061
6.6083 2.6515 2.4587
Se Ac F
1 2 1
Direct
0.5000 0.5000 0.5000
0.7413 0.7413 0.7760
0.2587 0.2587 0.2240
0.0000 0.0000 0.0000
```

# 3
Computed, not measured: a geometry-optimized SrSc2FeB structure at the PBE level of DFT.

Properties
**Space group**: P4/mmm
**Energy relative to the elements**: 0.332 eV per atom
**Total magnetic moment**: 0.000 μB/cell
**E_tot**: -5.5651 eV per atom

```
SrSc2FeB
1.0
-4.1284 0.9695 -2.3232
1.6463 -1.5801 -3.5849
-1.6817 -4.3828 1.1594
Sc Sr B Fe
2 1 1 1
Direct
0.0000 0.0000 0.5000
0.5000 0.0000 0.0000
0.5000 0.5000 0.5000
0.0000 0.5000 0.0000
0.0000 0.0000 0.0000
```

# 4
Computed, not measured: a geometry-optimized AlReMo2 structure at the PBE level of DFT.

Properties
**Space group**: I-42d
**Energy relative to the elements**: 0.670 eV per atom
**Total magnetic moment**: 0.000 μB/cell
**E_tot**: -8.7930 eV per atom

```
AlReMo2
1.0
-3.4799 5.0685 3.7884
-6.2169 -1.9325 -3.1252
-5.2811 -0.1808 2.2738
Al Re Mo
2 2 4
Direct
0.5000 0.5000 0.0000
0.2500 0.7500 0.5000
0.7500 0.2500 0.5000
0.0000 0.0000 0.0000
0.6551 0.1250 0.2500
0.0949 0.6250 0.2500
0.3750 0.3449 0.7500
0.8750 0.9051 0.7500
```

| no. | Fermi-level density of states (states/eV per atom) |
| --- | --- |
| 1 | 2.20 |
| 2 | 0.85 |
| 3 | 0.58 |
| 4 | 0.44 |